Density functional theory data (PBE) for crystalline NiAsBr2Cl at its relaxed geometry.

a = 5.1667 Å, b = 5.1667 Å, c = 5.2323 Å
α = 90.00°, β = 90.00°, γ = 90.00°
With the nearest neighbours (Å) after each atom.
Fractional coordinates of all 5 atoms:
1 Ni 0.0000 0.0000 0.0000  4 As 3.65, 8 Br 3.68
2 As 0.5000 0.5000 0.0000  2 Cl 2.62
3 Br 0.0000 0.5000 0.5000  2 Cl 2.58
4 Br 0.5000 0.0000 0.5000  2 Cl 2.58
5 Cl 0.5000 0.5000 0.5000  4 Br 2.58, 2 As 2.62

Calculated values
**ΔE_f (raw)**: 27.23 kcal/mol of atoms
**Crystal system**: tetragonal
**N(E_F)**: 5.4 states/eV per cell

***

Density functional theory data (PBE) for crystalline SbP2OF at its relaxed geometry.

a = 3.9241 Å, b = 3.9241 Å, c = 5.2041 Å
α = 90.00°, β = 90.00°, γ = 90.00°
With the nearest neighbours (Å) after each atom.
Fractional coordinates of all 5 atoms:
1 Sb 0.0000 0.0000 0.0000  4 O 2.77
2 P 0.0000 0.5000 0.5000  2 F 1.96
3 P 0.5000 0.0000 0.5000  2 F 1.96
4 O 0.5000 0.5000 0.0000  2 F 2.60, 4 Sb 2.77
5 F 0.5000 0.5000 0.5000  4 P 1.96

Calculated values
**ΔE_f (raw)**: 11.23 kcal/mol of atoms
**Crystal system**: tetragonal
**N(E_F)**: 2.5 states/eV per cell